(1)
YZr2Ta | SCAN | PBEsol geometry

* space-group type: R-3m, No. 166
* DOS at the Fermi energy: 6.0 states/eV per cell
* relative energy among the computed polymorphs: 0.086 eV per atom

The structure in extended XYZ format:
```
4
Lattice="-2.4345 -0.8688 -1.8052 -0.8801 -3.0255 -0.1103 -7.6136 0.3033 7.3682" Properties=species:S:1:pos:R:3 pbc="T T T"
Zr -2.8737 -0.8629 1.5374
Y 0.0000 0.0000 0.0000
Ta -5.4641 -1.7955 2.7263
Zr -8.0545 -2.7281 3.9153
```

***

(2)
YZrTa2 | SCAN | PBEsol geometry

* space-group type: P4/mmm, No. 123
* DOS at the Fermi energy: 4.5 states/eV per cell
* relative energy among the computed polymorphs: 0.197 eV per atom

The structure in extended XYZ format:
```
4
Lattice="-0.2898 2.8514 0.8301 -1.3222 -1.5510 4.8664 5.0818 0.1049 1.4142" Properties=species:S:1:pos:R:3 pbc="T T T"
Ta -0.6611 -0.7755 2.4332
Y 1.7349 0.7026 3.5553
Ta 2.5409 0.0524 0.7071
Zr -0.1449 1.4257 0.4150
```

***

(3)
YZr2Ta | SCAN | PBEsol geometry

* space-group type: I4/mmm, No. 139
* DOS at the Fermi energy: 6.5 states/eV per cell
* relative energy among the computed polymorphs: 0.082 eV per atom

The structure in extended XYZ format:
```
4
Lattice="4.8414 0.0000 0.0000 0.0000 4.8414 0.0000 -2.4207 -2.4207 3.7228" Properties=species:S:1:pos:R:3 pbc="T T T"
Ta 2.4207 2.4207 0.0000
Zr 2.4207 0.0000 1.8614
Zr 0.0000 2.4207 1.8614
Y 0.0000 0.0000 0.0000
```

***

(4)
YZrTa2 | SCAN | PBEsol geometry

* space-group type: Pmm2, No. 25
* DOS at the Fermi energy: 4.9 states/eV per cell
* relative energy among the computed polymorphs: 0.100 eV per atom

The structure in extended XYZ format:
```
4
Lattice="-0.7982 2.4223 -1.4767 -4.4343 -0.8405 1.0181 0.5540 3.3291 5.1615" Properties=species:S:1:pos:R:3 pbc="T T T"
Ta 0.0069 0.0415 0.0643
Zr -2.1889 3.3587 3.7518
Ta -2.4934 1.5289 0.9149
Y 0.2740 1.6464 2.5526
```

***

(5)
YZrTa2 | SCAN | PBEsol geometry

* space-group type: Fm-3m, No. 225
* DOS at the Fermi energy: 7.5 states/eV per cell
* relative energy among the computed polymorphs: 0.234 eV per atom

The structure in extended XYZ format:
```
4
Lattice="4.8958 0.0000 0.0000 2.4479 4.2398 0.0000 2.4479 1.4133 3.9974" Properties=species:S:1:pos:R:3 pbc="T T T"
Ta 7.3436 4.2398 2.9980
Zr 4.8958 2.8266 1.9987
Ta 2.4479 1.4133 0.9993
Y 0.0000 0.0000 0.0000
```

***

(6)
YZrTa | SCAN | PBEsol geometry

* space-group type: P-6m2, No. 187
* DOS at the Fermi energy: 2.0 states/eV per cell
* relative energy among the computed polymorphs: 0.000 eV per atom

The structure in extended XYZ format:
```
3
Lattice="-1.3357 1.4253 -2.4491 -2.2620 -4.2516 -1.2406 -2.2363 3.1992 3.0815" Properties=species:S:1:pos:R:3 pbc="T T T"
Y -2.2449 0.7156 1.6408
Zr -2.9213 -1.0553 -1.0244
Ta -0.6679 0.7126 -1.2245
```

***

(7)
YZrTa2 | SCAN | PBEsol geometry

* space-group type: Imm2, No. 44
* DOS at the Fermi energy: 4.9 states/eV per cell
* relative energy among the computed polymorphs: 0.000 eV per atom

The structure in extended XYZ format:
```
4
Lattice="3.4853 0.0000 0.0000 0.0000 4.9447 0.0000 -1.7427 -2.4723 4.9416" Properties=species:S:1:pos:R:3 pbc="T T T"
Zr 0.0000 2.4723 2.5546
Ta 0.0000 0.0000 0.2591
Y 0.0000 0.0000 4.8485
Ta 1.7427 0.0000 2.2211
```

***

(8)
TaZn7 | SCAN | PBEsol geometry

* space-group type: Fm-3m, No. 225
* DOS at the Fermi energy: 1.7 states/eV per cell
* VASP energy: -161.254 eV/cell

The structure in extended XYZ format:
```
8
Lattice="5.4836 0.0000 0.0000 2.7418 4.7490 0.0000 2.7418 1.5830 4.4774" Properties=species:S:1:pos:R:3 pbc="T T T"
Zn 4.1127 0.7915 2.2387
Zn 1.3709 0.7915 2.2387
Zn 2.7418 0.0000 0.0000
Zn 1.3709 2.3745 0.0000
Ta 0.0000 0.0000 0.0000
Zn 2.7418 3.1660 2.2387
Zn 4.1127 2.3745 0.0000
Zn 5.4836 3.1660 2.2387
```

***

(9)
TaZn | SCAN | PBEsol geometry

* space-group type: P6_3/mmc, No. 194
* DOS at the Fermi energy: 5.8 states/eV per cell
* VASP energy: -154.824 eV/cell

The structure in extended XYZ format:
```
4
Lattice="4.3489 0.0000 0.0000 -2.1744 3.7663 0.0000 0.0000 0.0000 5.0729" Properties=species:S:1:pos:R:3 pbc="T T T"
Ta 0.0000 2.5108 3.8047
Zn 2.1745 1.2554 3.8047
Zn 0.0000 2.5108 1.2682
Ta 2.1745 1.2554 1.2682
```

***

(10)
Ta3Zn | SCAN | PBEsol geometry

* space-group type: Cmmm, No. 65
* DOS at the Fermi energy: 3.3 states/eV per cell
* VASP energy: -213.260 eV/cell

The structure in extended XYZ format:
```
4
Lattice="-2.6345 0.8769 -0.0372 -0.1697 -2.6971 0.6387 0.5540 2.0358 8.7435" Properties=species:S:1:pos:R:3 pbc="T T T"
Ta 0.1426 0.5239 2.2500
Zn -1.1251 0.1078 4.6725
Ta 0.4115 1.5119 6.4935
Ta -1.4021 -0.9101 0.3008
```

***

(11)
TaZn | SCAN | PBEsol geometry

* space-group type: Cmme, No. 67
* DOS at the Fermi energy: 1.3 states/eV per cell
* VASP energy: -160.333 eV/cell

The structure in extended XYZ format:
```
4
Lattice="2.7668 0.0178 0.0000 -0.5223 2.7171 0.0000 0.0000 0.0000 8.4316" Properties=species:S:1:pos:R:3 pbc="T T T"
Zn 0.3000 2.0423 5.1674
Zn 1.9445 0.6927 3.2642
Ta 1.9445 0.6927 7.2921
Ta 0.3000 2.0423 1.1395
```

***

(12)
Ta2Zn | SCAN | PBEsol geometry

* space-group type: Fm-3m, No. 225
* DOS at the Fermi energy: 1.9 states/eV per cell
* VASP energy: -144.923 eV/cell

The structure in extended XYZ format:
```
3
Lattice="-1.4588 -3.4037 2.0803 -0.0606 -3.7925 -1.9115 2.6890 -3.0457 1.2386" Properties=species:S:1:pos:R:3 pbc="T T T"
Ta 0.2924 -2.5605 0.3518
Zn 0.0000 0.0000 0.0000
Ta 0.8772 -7.6815 1.0555
```

***

The lowest DOS at the Fermi energy belongs to which entry? number 11

***

Copy entry 2 word for word.
YZrTa2 | SCAN | PBEsol geometry

* space-group type: P4/mmm, No. 123
* DOS at the Fermi energy: 4.5 states/eV per cell
* relative energy among the computed polymorphs: 0.197 eV per atom

The structure in extended XYZ format:
```
4
Lattice="-0.2898 2.8514 0.8301 -1.3222 -1.5510 4.8664 5.0818 0.1049 1.4142" Properties=species:S:1:pos:R:3 pbc="T T T"
Ta -0.6611 -0.7755 2.4332
Y 1.7349 0.7026 3.5553
Ta 2.5409 0.0524 0.7071
Zr -0.1449 1.4257 0.4150
```

***

Please write out number 4 again, unchanged.
YZrTa2 | SCAN | PBEsol geometry

* space-group type: Pmm2, No. 25
* DOS at the Fermi energy: 4.9 states/eV per cell
* relative energy among the computed polymorphs: 0.100 eV per atom

The structure in extended XYZ format:
```
4
Lattice="-0.7982 2.4223 -1.4767 -4.4343 -0.8405 1.0181 0.5540 3.3291 5.1615" Properties=species:S:1:pos:R:3 pbc="T T T"
Ta 0.0069 0.0415 0.0643
Zr -2.1889 3.3587 3.7518
Ta -2.4934 1.5289 0.9149
Y 0.2740 1.6464 2.5526
```

***

Which value of DOS at the Fermi energy does entry 4 give? 4.9 states/eV per cell